Material: BiBPt3
Method: DFT, PBE-GGA
State: relaxed

Formation energy from the elements, meV per atom: -159
ΔE to the lowest computed polymorph, meV per atom: 59.3

The structure in extended XYZ format:
```
20
Lattice="23.9983 0.0000 2.3996 0.0000 5.0043 0.0000 -7.8118 0.0000 2.1448" Properties=species:S:1:pos:R:3 pbc="T T T"
B 7.3649 4.0026 2.1695
B 8.8216 1.0017 2.3750
B 0.7284 1.5004 0.1028
B 15.4581 3.5039 4.4417
Bi -2.7866 0.6373 2.3607
Bi 18.9731 4.3670 2.1837
Bi 3.0680 3.1395 2.0563
Bi 13.1185 1.8648 2.4881
Pt 0.2596 0.1174 2.6989
Pt 15.9269 4.8870 1.8455
Pt 0.0218 2.6195 1.7182
Pt 16.1647 2.3848 2.8263
Pt 6.7822 1.9742 2.1951
Pt 9.4043 3.0301 2.3494
Pt -6.5008 4.4764 2.2220
Pt 22.6873 0.5280 2.3225
Pt 5.4449 4.3818 3.0219
Pt 10.7416 0.6226 1.5225
Pt 18.8348 1.8796 3.7947
Pt -2.6483 3.1247 0.7497
```

Material: BeHgPb2
Method: DFT, PBE-GGA
State: relaxed

Formation energy from the elements, meV per atom: 327
ΔE to the lowest computed polymorph, meV per atom: 16.1

The structure in extended XYZ format:
```
4
Lattice="-2.2605 0.3515 2.5346 -1.7957 -1.3139 -2.5897 1.9913 -8.5621 2.9634" Properties=species:S:1:pos:R:3 pbc="T T T"
Pb 0.1256 -0.5402 0.1870
Pb 0.8700 -3.7409 1.2947
Be -1.5302 -2.6217 0.7133
Hg -0.5346 -6.9028 2.1950
```

Material: ErScBe
Method: DFT, PBE-GGA
State: relaxed

Formation energy from the elements, meV per atom: 41
ΔE to the lowest computed polymorph, meV per atom: 0.0

The structure in extended XYZ format:
```
3
Lattice="3.3095 0.0000 0.0000 0.0000 3.3095 0.0000 -1.6548 -1.6548 5.7590" Properties=species:S:1:pos:R:3 pbc="T T T"
Sc 0.0000 0.0000 3.4296
Be 1.6548 1.6548 2.0449
Er 0.0000 0.0000 0.2845
```

Material: LaZrP
Method: DFT, PBE-GGA
State: relaxed

Formation energy from the elements, meV per atom: 580
ΔE to the lowest computed polymorph, meV per atom: 1380.7

The structure in extended XYZ format:
```
3
Lattice="1.4821 -4.3045 -1.9617 -3.3310 -3.1181 -1.9380 -0.1931 -0.6851 -4.9058" Properties=species:S:1:pos:R:3 pbc="T T T"
La -0.5105 -2.0269 -2.2014
Zr -1.0210 -4.0539 -4.4027
P 0.0000 0.0000 0.0000
```

Material: SnBiP
Method: DFT, PBE-GGA
State: relaxed

Formation energy from the elements, meV per atom: 50
ΔE to the lowest computed polymorph, meV per atom: 0.8

The structure in extended XYZ format:
```
6
Lattice="-1.9800 1.5761 -3.4884 -4.2840 -0.2946 -0.3664 -5.2889 10.7749 2.5529" Properties=species:S:1:pos:R:3 pbc="T T T"
Bi -2.0408 1.1434 -0.8209
Bi -4.3047 3.1356 -1.2980
Sn -6.6381 5.7614 -1.4467
Sn -4.9938 9.2895 1.8807
P -9.0561 9.1337 -1.2105
P -8.8389 7.1985 -2.2097
```

Material: Pm7Ir2N2
Method: DFT, PBE-GGA
State: relaxed

ΔE_f (raw), eV/f.u.: -6.1

The structure in extended XYZ format:
```
11
Lattice="-0.5345 -5.4623 4.2966 6.1018 0.6722 1.3343 -1.0693 6.3903 2.5697" Properties=species:S:1:pos:R:3 pbc="T T T"
Pm 0.9834 2.8139 1.8035
Pm 4.2675 -1.6493 3.1738
Pm 3.5147 -1.2137 6.3970
Pm 0.2305 3.2496 5.0267
Pm 0.0000 0.0000 0.0000
Pm 3.7427 1.7944 4.3148
Pm 0.7553 -0.1941 3.8858
Ir 1.7417 1.0937 6.2724
Ir 2.7563 0.5066 1.9282
N -0.4633 -2.7765 3.9502
N 4.9614 4.3767 4.2504
```

Material: Rb2NpSb4Au3
Method: DFT, PBE-GGA
State: relaxed

ΔE_f (raw), eV/f.u.: -2.3

The structure in extended XYZ format:
```
10
Lattice="-1.0780 -0.9798 4.7019 -0.3627 -4.7886 -1.0810 11.8819 -1.4468 2.4227" Properties=species:S:1:pos:R:3 pbc="T T T"
Rb 2.3141 -0.8373 2.9327
Rb 8.8475 -3.4937 1.3005
Np 5.2206 -3.6075 3.0218
Sb -0.7203 -2.8842 1.8105
Sb 0.0000 0.0000 0.0000
Sb 7.1331 -1.4241 3.9153
Sb 4.0285 -2.9069 0.3179
Au 5.9410 -0.7234 1.2113
Au 9.9239 -1.7639 4.4843
Au 1.2377 -2.5671 -0.2512
```

Material: SrTa2InRu
Method: DFT, PBE-GGA
State: relaxed

Formation energy from the elements, meV per atom: 2988

The structure in extended XYZ format:
```
5
Lattice="-2.2437 -4.0776 -1.3101 3.8226 -2.8591 2.3521 -2.5061 0.0507 4.1345" Properties=species:S:1:pos:R:3 pbc="T T T"
Ru -0.4636 -3.4430 2.5883
In 1.9113 -1.4295 1.1761
Sr 0.0000 0.0000 0.0000
Ta -1.2531 0.0253 2.0672
Ta -1.1218 -2.0388 -0.6550
```

Material: PrYTe2
Method: DFT, PBE-GGA
State: relaxed

ΔE to the lowest computed polymorph, meV per atom: 144.2
ΔE_f (raw), eV/f.u.: -5.0

The structure in extended XYZ format:
```
4
Lattice="-2.6729 -2.0653 -1.8474 3.5187 -4.1320 -0.4714 -1.7298 -2.0157 4.7562" Properties=species:S:1:pos:R:3 pbc="T T T"
Pr -0.4420 -4.1066 1.2187
Y -1.3364 -1.0327 -0.9237
Te -0.8649 -1.0079 2.3781
Te 1.7594 -2.0660 -0.2357
```

Material: Ac8Pm3Dy
Method: DFT, PBE-GGA
State: relaxed

Formation energy from the elements, meV per atom: 54

The structure in extended XYZ format:
```
12
Lattice="-3.0369 7.8226 3.8327 -3.6017 -8.0581 -2.6832 4.7712 -3.5679 7.0555" Properties=species:S:1:pos:R:3 pbc="T T T"
Ac -1.9859 0.6109 2.1556
Ac -1.3838 -5.2010 4.3435
Ac -1.9468 -6.5848 0.8079
Ac 2.2238 -4.3397 5.6848
Ac 0.6236 -2.2020 2.8352
Ac -2.9724 4.2448 3.1532
Ac 1.2121 -8.0444 5.0332
Ac -2.3852 -1.5977 5.3514
Pm -3.0885 -3.0166 1.6767
Pm 1.0992 -0.7912 6.5493
Pm -1.2907 2.0508 5.8177
Dy -5.4968 -0.1950 0.9517
```

Material: Cr2SiRh
Method: DFT, PBE-GGA
State: relaxed

ΔE_f (raw), eV/f.u.: -1.0

The structure in extended XYZ format:
```
4
Lattice="3.8848 0.0000 0.0000 0.0000 2.6814 0.0145 0.0000 2.6667 4.8270" Properties=species:S:1:pos:R:3 pbc="T T T"
Cr 0.0000 2.6690 4.6694
Cr 0.0000 2.6718 2.5782
Rh 1.9424 1.3370 1.2104
Si 1.9424 4.0111 3.6311
```

Material: TlCr2Cd
Method: DFT, PBE-GGA
State: relaxed

Formation energy from the elements, meV per atom: 574

The structure in extended XYZ format:
```
4
Lattice="4.6674 0.3054 0.0000 -0.2889 4.6684 0.0000 0.0000 0.0000 3.5122" Properties=species:S:1:pos:R:3 pbc="T T T"
Cd -0.1445 2.3342 1.7561
Cr 0.0000 0.0000 0.0000
Cr 2.1892 2.4869 0.0000
Tl 2.3337 0.1527 1.7561
```